Below is a relaxed Pm2Pr2Er3 crystal, with properties calculated at the PBE level.

For the formation energy, the calculation gives 0.19 eV per atom. The calculation puts the total energy at -4.491 eV per atom.

The structure belongs to space group P2_1/c (No. 14); the cell edges are 6.405, 11.558 and 6.440 Å and the angles 90.00°, 95.99° and 90.00°. Symmetry generates all atoms from Pm at (0.107, 0.222, 0.281), Pr at (0.459, 0.651, 0.538), Er at (0.000, 0.000, 0.000) and Er at (0.256, 0.541, 0.041).